DFT (PBE-GGA) results for a relaxed MgSiAs2Br crystal.

Calculated values
**Total magnetization**: 0.00 μB per formula unit
**Space-group type**: P4/mmm, No. 123
**Density of states at the Fermi level**: 4.65 states/eV per cell
**ΔE_f (raw)**: 0.672 eV/atom

abc: 5.0393 5.0393 5.0665
angles: 90.00 90.00 90.00
Fractional positions:
Mg1 0.0000 0.0000 0.0000
As1 0.0000 0.5000 0.0000
As2 0.5000 0.0000 0.0000
Br1 0.0000 0.0000 0.5000
Si1 0.5000 0.5000 0.5000

=====

DFT (PBE-GGA) results for a relaxed MgSiAs2Br crystal.

Calculated values
**Total magnetization**: 0.00 μB per formula unit
**Space-group type**: P4/mmm, No. 123
**Density of states at the Fermi level**: 3.96 states/eV per cell
**ΔE_f (raw)**: 0.324 eV/atom

abc: 4.8263 4.8263 5.1750
angles: 90.00 90.00 90.00
Fractional positions:
As1 0.0000 0.5000 0.0000
As2 0.5000 0.0000 0.0000
Mg1 0.5000 0.5000 0.5000
Br1 0.0000 0.0000 0.5000
Si1 0.0000 0.0000 0.0000

=====

DFT (PBE-GGA) results for a relaxed MgSnAsBr2 crystal.

Calculated values
**Total magnetization**: 0.00 μB per formula unit
**Space-group type**: P4/mmm, No. 123
**Density of states at the Fermi level**: 3.09 states/eV per cell
**ΔE_f (raw)**: -0.254 eV/atom

abc: 5.0344 5.0344 5.5442
angles: 90.00 90.00 90.00
Fractional positions:
Mg1 0.0000 0.0000 0.0000
As1 0.0000 0.0000 0.5000
Br1 0.0000 0.5000 0.0000
Br2 0.5000 0.0000 0.0000
Sn1 0.5000 0.5000 0.5000

=====

DFT (PBE-GGA) results for a relaxed MgSnAs2Br crystal.

Calculated values
**Total magnetization**: 0.00 μB per formula unit
**Space-group type**: P4/mmm, No. 123
**Density of states at the Fermi level**: 4.65 states/eV per cell
**ΔE_f (raw)**: 0.213 eV/atom

abc: 5.0545 5.0545 5.2422
angles: 90.00 90.00 90.00
Fractional positions:
Br1 0.0000 0.0000 0.5000
As1 0.0000 0.5000 0.0000
As2 0.5000 0.0000 0.0000
Sn1 0.5000 0.5000 0.5000
Mg1 0.0000 0.0000 0.0000

=====

DFT (PBE-GGA) results for a relaxed SrMgAsBr2 crystal.

Calculated values
**Total magnetization**: 1.00 μB per formula unit
**Space-group type**: P4/mmm, No. 123
**Density of states at the Fermi level**: 3.03 states/eV per cell
**ΔE_f (raw)**: -0.960 eV/atom

abc: 5.2321 5.2321 5.3563
angles: 90.00 90.00 90.00
Site moments in Bohr magnetons follow the coordinates.
Fractional positions:
As1 0.0000 0.0000 0.5000  0.34
Mg1 0.0000 0.0000 0.0000  0.00
Br1 0.0000 0.5000 0.0000  0.06
Br2 0.5000 0.0000 0.0000  0.06
Sr1 0.5000 0.5000 0.5000  0.02

=====

DFT (PBE-GGA) results for a relaxed SrMgAs2Br crystal.

Calculated values
**Total magnetization**: 0.26 μB per formula unit
**Space-group type**: P4/mmm, No. 123
**Density of states at the Fermi level**: 5.24 states/eV per cell
**ΔE_f (raw)**: -0.520 eV/atom

abc: 4.9943 4.9943 5.6299
angles: 90.00 90.00 90.00
Fractional positions:
Mg1 0.0000 0.0000 0.0000
As1 0.5000 0.0000 0.0000
As2 0.0000 0.5000 0.0000
Sr1 0.5000 0.5000 0.5000
Br1 0.0000 0.0000 0.5000

=====

DFT (PBE-GGA) results for a relaxed SrMgAs2Br crystal.

Calculated values
**Total magnetization**: 1.23 μB per formula unit
**Space-group type**: P4/mmm, No. 123
**Density of states at the Fermi level**: 3.59 states/eV per cell
**ΔE_f (raw)**: 0.264 eV/atom

abc: 5.8310 5.8310 5.6962
angles: 90.00 90.00 90.00
Site moments in Bohr magnetons follow the coordinates.
Fractional positions:
Sr1 0.0000 0.0000 0.0000  0.01
Br1 0.0000 0.0000 0.5000  0.08
Mg1 0.5000 0.5000 0.5000  -0.04
As1 0.5000 0.0000 0.0000  0.27
As2 0.0000 0.5000 0.0000  0.27

=====

DFT (PBE-GGA) results for a relaxed SrMgAsBr2 crystal.

Calculated values
**Total magnetization**: 1.41 μB per formula unit
**Space-group type**: P4/mmm, No. 123
**Density of states at the Fermi level**: 2.51 states/eV per cell
**ΔE_f (raw)**: -0.449 eV/atom

abc: 5.7915 5.7915 6.3318
angles: 90.00 90.00 90.00
Site moments in Bohr magnetons follow the coordinates.
Fractional positions:
Mg1 0.5000 0.5000 0.5000  -0.08
Br1 0.5000 0.0000 0.0000  0.03
Br2 0.0000 0.5000 0.0000  0.03
Sr1 0.0000 0.0000 0.0000  0.01
As1 0.0000 0.0000 0.5000  0.67

=====

DFT (PBE-GGA) results for a relaxed MgTaAs2Br crystal.

Calculated values
**Total magnetization**: 0.00 μB per formula unit
**Space-group type**: P4/mmm, No. 123
**Density of states at the Fermi level**: 1.71 states/eV per cell
**ΔE_f (raw)**: 0.083 eV/atom

abc: 5.0212 5.0212 5.2206
angles: 90.00 90.00 90.00
Fractional positions:
As1 0.0000 0.5000 0.0000
As2 0.5000 0.0000 0.0000
Br1 0.0000 0.0000 0.5000
Ta1 0.0000 0.0000 0.0000
Mg1 0.5000 0.5000 0.5000

=====

DFT (PBE-GGA) results for a relaxed MgTaAs2Br crystal.

Calculated values
**Total magnetization**: 1.97 μB per formula unit
**Space-group type**: P4/mmm, No. 123
**Density of states at the Fermi level**: 4.76 states/eV per cell
**ΔE_f (raw)**: 0.967 eV/atom

abc: 4.9098 4.9098 4.9368
angles: 90.00 90.00 90.00
Site moments in Bohr magnetons follow the coordinates.
Fractional positions:
As1 0.5000 0.0000 0.0000  -0.08
As2 0.0000 0.5000 0.0000  -0.08
Mg1 0.0000 0.0000 0.0000  0.01
Br1 0.0000 0.0000 0.5000  -0.07
Ta1 0.5000 0.5000 0.5000  1.62

=====

DFT (PBE-GGA) results for a relaxed MgTcAsBr2 crystal.

Calculated values
**Total magnetization**: 1.35 μB per formula unit
**Space-group type**: P4/mmm, No. 123
**Density of states at the Fermi level**: 4.37 states/eV per cell
**ΔE_f (raw)**: 0.195 eV/atom

abc: 5.2439 5.2439 4.7773
angles: 90.00 90.00 90.00
Site moments in Bohr magnetons follow the coordinates.
Fractional positions:
Br1 0.5000 0.0000 0.0000  0.03
Br2 0.0000 0.5000 0.0000  0.03
Mg1 0.5000 0.5000 0.5000  0.02
Tc1 0.0000 0.0000 0.0000  1.12
As1 0.0000 0.0000 0.5000  -0.04

=====

DFT (PBE-GGA) results for a relaxed MgTlAs2Br crystal.

Calculated values
**Total magnetization**: 1.62 μB per formula unit
**Space-group type**: P4/mmm, No. 123
**Density of states at the Fermi level**: 4.20 states/eV per cell
**ΔE_f (raw)**: 0.103 eV/atom

abc: 5.1224 5.1224 5.5835
angles: 90.00 90.00 90.00
Site moments in Bohr magnetons follow the coordinates.
Fractional positions:
As1 0.0000 0.5000 0.0000  0.32
As2 0.5000 0.0000 0.0000  0.32
Tl1 0.5000 0.5000 0.5000  0.02
Br1 0.0000 0.0000 0.5000  0.13
Mg1 0.0000 0.0000 0.0000  0.00

=====

DFT (PBE-GGA) results for a relaxed MgVAsBr2 crystal.

Calculated values
**Total magnetization**: 1.93 μB per formula unit
**Space-group type**: P4/mmm, No. 123
**Density of states at the Fermi level**: 2.98 states/eV per cell
**ΔE_f (raw)**: -0.136 eV/atom

abc: 5.0859 5.0859 5.0030
angles: 90.00 90.00 90.00
Site moments in Bohr magnetons follow the coordinates.
Fractional positions:
V1 0.0000 0.0000 0.0000  1.97
Mg1 0.5000 0.5000 0.5000  0.07
Br1 0.5000 0.0000 0.0000  -0.01
Br2 0.0000 0.5000 0.0000  -0.01
As1 0.0000 0.0000 0.5000  -0.26

=====

DFT (PBE-GGA) results for a relaxed MgAs2WBr crystal.

Calculated values
**Total magnetization**: 0.59 μB per formula unit
**Space-group type**: P4/mmm, No. 123
**Density of states at the Fermi level**: 2.72 states/eV per cell
**ΔE_f (raw)**: 0.347 eV/atom

abc: 4.8476 4.8476 5.5137
angles: 90.00 90.00 90.00
Site moments in Bohr magnetons follow the coordinates.
Fractional positions:
Br1 0.0000 0.0000 0.5000  0.02
W1 0.0000 0.0000 0.0000  0.49
As1 0.0000 0.5000 0.0000  -0.03
As2 0.5000 0.0000 0.0000  -0.03
Mg1 0.5000 0.5000 0.5000  0.01

=====

DFT (PBE-GGA) results for a relaxed MgAsWBr2 crystal.

Calculated values
**Total magnetization**: 3.00 μB per formula unit
**Space-group type**: P4/mmm, No. 123
**Density of states at the Fermi level**: 5.36 states/eV per cell
**ΔE_f (raw)**: 0.900 eV/atom

abc: 4.7621 4.7621 6.4902
angles: 90.00 90.00 90.00
Site moments in Bohr magnetons follow the coordinates.
Fractional positions:
As1 0.0000 0.0000 0.5000  -0.54
W1 0.5000 0.5000 0.5000  3.15
Br1 0.0000 0.5000 0.0000  -0.01
Br2 0.5000 0.0000 0.0000  -0.01
Mg1 0.0000 0.0000 0.0000  -0.01

=====

DFT (PBE-GGA) results for a relaxed MgAsWBr2 crystal.

Calculated values
**Total magnetization**: 2.14 μB per formula unit
**Space-group type**: P4/mmm, No. 123
**Density of states at the Fermi level**: 3.69 states/eV per cell
**ΔE_f (raw)**: 0.369 eV/atom

abc: 5.2740 5.2740 4.9301
angles: 90.00 90.00 90.00
Site moments in Bohr magnetons follow the coordinates.
Fractional positions:
Br1 0.0000 0.5000 0.0000  0.05
Br2 0.5000 0.0000 0.0000  0.05
As1 0.0000 0.0000 0.5000  -0.09
Mg1 0.5000 0.5000 0.5000  0.08
W1 0.0000 0.0000 0.0000  1.50

=====

DFT (PBE-GGA) results for a relaxed MgZnAsBr2 crystal.

Calculated values
**Total magnetization**: 0.92 μB per formula unit
**Space-group type**: P4/mmm, No. 123
**Density of states at the Fermi level**: 3.12 states/eV per cell
**ΔE_f (raw)**: 0.008 eV/atom

abc: 5.1379 5.1379 5.1297
angles: 90.00 90.00 90.00
Site moments in Bohr magnetons follow the coordinates.
Fractional positions:
Br1 0.0000 0.5000 0.0000  0.06
Br2 0.5000 0.0000 0.0000  0.06
Mg1 0.5000 0.5000 0.5000  -0.04
Zn1 0.0000 0.0000 0.0000  0.00
As1 0.0000 0.0000 0.5000  0.41

=====

DFT (PBE-GGA) results for a relaxed MgZnAsBr2 crystal.

Calculated values
**Total magnetization**: 1.37 μB per formula unit
**Space-group type**: P4/mmm, No. 123
**Density of states at the Fermi level**: 3.14 states/eV per cell
**ΔE_f (raw)**: -0.065 eV/atom

abc: 5.1244 5.1244 5.6164
angles: 90.00 90.00 90.00
Site moments in Bohr magnetons follow the coordinates.
Fractional positions:
Br1 0.0000 0.5000 0.0000  0.07
Br2 0.5000 0.0000 0.0000  0.07
As1 0.0000 0.0000 0.5000  0.58
Mg1 0.0000 0.0000 0.0000  0.00
Zn1 0.5000 0.5000 0.5000  -0.07

=====

DFT (PBE-GGA) results for a relaxed Mg2ZnAsBr crystal.

Calculated values
**Total magnetization**: 0.00 μB per formula unit
**Space-group type**: P4/mmm, No. 123
**Density of states at the Fermi level**: 3.39 states/eV per cell
**ΔE_f (raw)**: 0.005 eV/atom

abc: 5.2941 4.6352 5.2941
angles: 90.00 90.00 90.00
Fractional positions:
Mg1 0.5000 0.0000 0.0000
Mg2 0.0000 0.0000 0.5000
Br1 0.5000 0.5000 0.5000
As1 0.0000 0.5000 0.0000
Zn1 0.0000 0.0000 0.0000

=====

DFT (PBE-GGA) results for a relaxed MgZrAsBr2 crystal.

Calculated values
**Total magnetization**: 1.00 μB per formula unit
**Space-group type**: P4/mmm, No. 123
**Density of states at the Fermi level**: 3.52 states/eV per cell
**ΔE_f (raw)**: -0.039 eV/atom

abc: 4.8269 4.8269 5.6433
angles: 90.00 90.00 90.00
Site moments in Bohr magnetons follow the coordinates.
Fractional positions:
Br1 0.5000 0.0000 0.0000  -0.02
Br2 0.0000 0.5000 0.0000  -0.02
Mg1 0.0000 0.0000 0.0000  0.00
As1 0.0000 0.0000 0.5000  -0.11
Zr1 0.5000 0.5000 0.5000  0.89

=====

DFT (PBE-GGA) results for a relaxed MgZrAsBr2 crystal.

Calculated values
**Total magnetization**: 0.00 μB per formula unit
**Space-group type**: P4/mmm, No. 123
**Density of states at the Fermi level**: 2.85 states/eV per cell
**ΔE_f (raw)**: -0.428 eV/atom

abc: 5.2707 5.2707 5.4017
angles: 90.00 90.00 90.00
Fractional positions:
Mg1 0.5000 0.5000 0.5000
Br1 0.0000 0.5000 0.0000
Br2 0.5000 0.0000 0.0000
Zr1 0.0000 0.0000 0.0000
As1 0.0000 0.0000 0.5000

=====

DFT (PBE-GGA) results for a relaxed MgZrAs2Br crystal.

Calculated values
**Total magnetization**: 0.68 μB per formula unit
**Space-group type**: P4/mmm, No. 123
**Density of states at the Fermi level**: 4.59 states/eV per cell
**ΔE_f (raw)**: 0.291 eV/atom

abc: 4.9521 4.9521 4.9588
angles: 90.00 90.00 90.00
Site moments in Bohr magnetons follow the coordinates.
Fractional positions:
Zr1 0.5000 0.5000 0.5000  0.57
Mg1 0.0000 0.0000 0.0000  0.01
As1 0.0000 0.5000 0.0000  -0.03
As2 0.5000 0.0000 0.0000  -0.03
Br1 0.0000 0.0000 0.5000  -0.03

=====

DFT (PBE-GGA) results for a relaxed MgZrAs2Br crystal.

Calculated values
**Total magnetization**: 0.00 μB per formula unit
**Space-group type**: P4/mmm, No. 123
**Density of states at the Fermi level**: 3.64 states/eV per cell
**ΔE_f (raw)**: -0.161 eV/atom

abc: 5.2414 5.2414 5.2867
angles: 90.00 90.00 90.00
Fractional positions:
Br1 0.0000 0.0000 0.5000
Mg1 0.5000 0.5000 0.5000
As1 0.0000 0.5000 0.0000
As2 0.5000 0.0000 0.0000
Zr1 0.0000 0.0000 0.0000

=====

DFT (PBE-GGA) results for a relaxed MnAs2Br crystal.

Calculated values
**Total magnetization**: 0.00 μB per formula unit
**Space-group type**: P4/mmm, No. 123
**Density of states at the Fermi level**: 2.54 states/eV per cell
**ΔE_f (raw)**: 0.079 eV/atom

abc: 2.9634 2.9618 9.0831
angles: 90.00 90.00 90.00
Fractional positions:
As1 0.0000 0.0000 0.5946
As2 0.0000 0.0000 0.9054
Br1 0.5000 0.5000 0.2500
Mn1 0.5000 0.5000 0.7500

=====

DFT (PBE-GGA) results for a relaxed MnAs2Br crystal.

Calculated values
**Total magnetization**: 4.43 μB per formula unit
**Space-group type**: P4/mmm, No. 123
**Density of states at the Fermi level**: 2.31 states/eV per cell
**ΔE_f (raw)**: 0.289 eV/atom

abc: 6.3640 3.7479 3.7479
angles: 90.00 90.00 90.00
Site moments in Bohr magnetons follow the coordinates.
Fractional positions:
Br1 0.5000 0.5000 0.0000  0.06
Mn1 0.5000 0.0000 0.5000  4.18
As1 0.0000 0.5000 0.5000  -0.02
As2 0.0000 0.0000 0.0000  -0.02

=====

DFT (PBE-GGA) results for a relaxed MnAsBr4 crystal.

Calculated values
**Total magnetization**: 3.10 μB per formula unit
**Space-group type**: F-43m, No. 216
**Density of states at the Fermi level**: 7.03 states/eV per cell
**ΔE_f (raw)**: 0.952 eV/atom

abc: 6.2305 6.2305 6.2305
angles: 60.00 60.00 60.00
Site moments in Bohr magnetons follow the coordinates.
Fractional positions:
Mn1 0.7500 0.7500 0.7500  4.55
Br1 0.3758 0.3758 0.3758  0.01
Br2 0.3758 0.3758 0.8726  0.01
Br3 0.8726 0.3758 0.3758  0.01
Br4 0.3758 0.8726 0.3758  0.01
As1 0.0000 0.0000 0.0000  -0.90

=====

DFT (PBE-GGA) results for a relaxed MnAs2Br crystal.

Calculated values
**Total magnetization**: 1.64 μB per formula unit
**Space-group type**: I-42d, No. 122
**Density of states at the Fermi level**: 4.68 states/eV per cell
**ΔE_f (raw)**: 0.259 eV/atom

abc: 6.0411 6.0411 7.2047
angles: 65.21 65.21 90.00
Site moments in Bohr magnetons follow the coordinates.
Fractional positions:
Br1 0.7500 0.2500 0.5000  -0.05
Br2 0.0000 0.0000 0.0000  -0.05
As1 0.2339 0.6250 0.2500  -0.15
As2 0.8750 0.7661 0.7500  -0.16
As3 0.5161 0.1250 0.2500  -0.15
As4 0.3750 0.4839 0.7500  -0.16
Mn1 0.2500 0.7500 0.5000  2.08
Mn2 0.5000 0.5000 0.0000  2.08

=====

DFT (PBE-GGA) results for a relaxed MnAs2Br crystal.

Calculated values
**Total magnetization**: 2.77 μB per formula unit
**Space-group type**: Cmmm, No. 65
**Density of states at the Fermi level**: 2.12 states/eV per cell
**ΔE_f (raw)**: -0.061 eV/atom

abc: 3.3957 5.5029 5.5048
angles: 52.31 90.00 90.00
Site moments in Bohr magnetons follow the coordinates.
Fractional positions:
Mn1 0.5000 0.7500 0.7500  2.93
As1 0.0000 0.9382 0.9380  -0.10
As2 0.0000 0.5618 0.5620  -0.10
Br1 0.5000 0.2500 0.2500  0.04

=====

DFT (PBE-GGA) results for a relaxed MnAs2Br crystal.

Calculated values
**Total magnetization**: 4.83 μB per formula unit
**Space-group type**: Imm2, No. 44
**Density of states at the Fermi level**: 0.91 states/eV per cell
**ΔE_f (raw)**: -0.085 eV/atom

abc: 9.1291 9.1291 9.1291
angles: 156.56 155.58 34.10
Site moments in Bohr magnetons follow the coordinates.
Fractional positions:
Br1 0.5162 0.5162 0.0000  0.10
Mn1 0.4201 0.9201 0.5000  4.13
As1 0.8275 0.8275 0.0000  -0.04
As2 0.7363 0.2363 0.5000  0.11